An optimized crystal structure of TbAgAu, computed with PBE.

The structure in POSCAR format:
```
TbAgAu
1.0
3.761 0.000 0.000
0.000 3.761 0.000
0.000 0.000 9.149
Tb Ag Au
2 2 2
direct
0.250 0.250 0.240 Tb
0.750 0.750 0.760 Tb
0.250 0.250 0.575 Ag
0.750 0.750 0.425 Ag
0.250 0.250 0.908 Au
0.750 0.750 0.092 Au
```

Output
Excess energy over the best structure of this formula in the dataset (meV per atom): 5.7
V (Å³/atom): 21.56
Formation enthalpy at 0 K (eV per atom): -0.62